(A)
{
  "formula": "KMn2Co",
  "functional": "PBE",
  "state": "relaxed",
  "dos_at_fermi_per_ev_cell": 4.22,
  "total_magnetization_mub_per_fu": 6.67,
  "lattice": [[2.997, 0.000, 0.000], [0.000, 3.001, 0.000], [-0.015, 0.000, 8.102]],
  "species": ["K", "Mn", "Mn", "Co"],
  "frac_coords": [[0.000, 0.000, 0.000], [0.002, 0.000, 0.448], [0.503, 0.500, 0.635], [0.502, 0.500, 0.319]]
}

***

(B)
{
  "formula": "KMn2Co",
  "functional": "PBE",
  "state": "relaxed",
  "dos_at_fermi_per_ev_cell": 2.60,
  "total_magnetization_mub_per_fu": 9.33,
  "lattice": [[0.000, 3.341, 3.341], [3.341, 0.000, 3.341], [3.341, 3.341, 0.000]],
  "species": ["K", "Mn", "Mn", "Co"],
  "frac_coords": [[0.000, 0.000, 0.000], [0.250, 0.250, 0.250], [0.500, 0.500, 0.500], [0.750, 0.750, 0.750]]
}

***

Quick one: most stable of them? (A)

***

(A)
{
  "formula": "KMn2Co",
  "functional": "PBE",
  "state": "relaxed",
  "dos_at_fermi_per_ev_cell": 1.46,
  "total_magnetization_mub_per_fu": 9.25,
  "lattice": [[3.016, 0.000, 0.000], [0.000, 3.016, 0.000], [0.000, 0.000, 8.622]],
  "species": ["K", "Mn", "Mn", "Co"],
  "frac_coords": [[0.000, 0.000, 0.000], [0.500, 0.500, 0.342], [0.500, 0.500, 0.658], [0.000, 0.000, 0.500]]
}

***

(B)
{
  "formula": "KMn2Co",
  "functional": "PBE",
  "state": "relaxed",
  "dos_at_fermi_per_ev_cell": 5.80,
  "total_magnetization_mub_per_fu": 1.05,
  "lattice": [[2.580, 0.000, 0.000], [0.000, 3.837, 0.000], [0.000, 0.000, 7.274]],
  "species": ["K", "Mn", "Mn", "Co"],
  "frac_coords": [[0.000, 0.000, 0.000], [0.500, 0.500, 0.368], [0.500, 0.500, 0.632], [0.000, 0.000, 0.500]]
}

***

Quick one: most stable of them? (A)

***

(A)
{
  "formula": "KMn2Co",
  "functional": "PBE",
  "state": "relaxed",
  "dos_at_fermi_per_ev_cell": 2.95,
  "total_magnetization_mub_per_fu": 9.42,
  "lattice": [[-1.423, 2.785, 5.097], [1.423, -2.785, 5.097], [1.423, 2.785, -5.097]],
  "species": ["K", "Mn", "Mn", "Co"],
  "frac_coords": [[0.000, 0.000, 0.000], [0.304, 0.804, 0.500], [0.696, 0.196, 0.500], [0.500, 0.500, 0.000]]
}

***

(B)
{
  "formula": "KMn2Co",
  "functional": "PBE",
  "state": "relaxed",
  "dos_at_fermi_per_ev_cell": 3.55,
  "total_magnetization_mub_per_fu": 9.45,
  "lattice": [[4.500, 0.000, 0.000], [0.000, 4.500, 0.000], [0.000, 0.000, 3.583]],
  "species": ["K", "Mn", "Mn", "Co"],
  "frac_coords": [[0.000, 0.000, 0.000], [0.000, 0.500, 0.500], [0.500, 0.000, 0.500], [0.500, 0.500, 0.000]]
}

***

(C)
{
  "formula": "KMn2Co",
  "functional": "PBE",
  "state": "relaxed",
  "dos_at_fermi_per_ev_cell": 3.50,
  "total_magnetization_mub_per_fu": 9.18,
  "lattice": [[4.298, -1.441, 0.000], [4.298, 1.441, 0.000], [-0.602, 0.000, 7.146]],
  "species": ["K", "Mn", "Mn", "Co"],
  "frac_coords": [[0.000, 0.000, 0.000], [0.231, 0.231, 0.628], [0.491, 0.491, 0.451], [0.761, 0.761, 0.364]]
}

***

Quick one: most stable of them? (C)

***

(A)
{
  "formula": "KMn2Co",
  "functional": "PBE",
  "state": "relaxed",
  "dos_at_fermi_per_ev_cell": 3.34,
  "total_magnetization_mub_per_fu": 9.07,
  "lattice": [[-1.447, 2.025, 7.595], [1.447, -2.025, 7.595], [1.447, 2.025, -7.595]],
  "species": ["K", "Mn", "Mn", "Co"],
  "frac_coords": [[0.000, 0.000, 0.000], [0.301, 0.801, 0.500], [0.680, 0.680, 0.000], [0.805, 0.305, 0.500]]
}

***

(B)
{
  "formula": "KMn2Co",
  "functional": "PBE",
  "state": "relaxed",
  "dos_at_fermi_per_ev_cell": 5.61,
  "total_magnetization_mub_per_fu": 9.52,
  "lattice": [[4.981, 0.000, 0.000], [0.000, 4.981, 0.000], [0.000, 0.000, 2.901]],
  "species": ["K", "Mn", "Mn", "Co"],
  "frac_coords": [[0.000, 0.000, 0.000], [0.000, 0.500, 0.500], [0.500, 0.000, 0.500], [0.500, 0.500, 0.000]]
}

***

Quick one: most stable of them? (A)